A plane-wave DFT calculation with GGA+U was carried out for an optimized crystal structure of AlWF2.

a b c (Å): 5.2918 5.2918 5.2918
angles (deg): 42.80 42.80 42.80
Last column: magnetic moment on the atom in μB.
Fractional coordinates of all 4 atoms:
W1 0.0000 0.0000 0.0000  3.16
F1 0.8490 0.8490 0.8490  -0.01
F2 0.1510 0.1510 0.1510  -0.01
Al1 0.5000 0.5000 0.5000  -0.14

Summary:
The space group is R-3m. The mass density is 6.7 g/cm³. The energy above the most stable polymorph in this dataset comes out at 0 meV/atom. The crystal system is trigonal.